1.
# KBaI2O

KBaI2O at its PBEsol-relaxed geometry (SCAN, Alexandria via LeMat-Bulk).

## Properties
The formation energy without anion corrections comes out at -7.2 eV/f.u. The mass density is 3.57 g cm⁻³.

```
KBaI2O
1.0
-4.172 1.661 -0.019
-0.464 -1.090 6.692
2.471 6.219 1.184
I K Ba O
2 1 1 1
direct
0.000 0.000 0.500 I
0.000 0.500 0.000 I
0.500 0.500 0.500 K
0.000 0.000 0.000 Ba
0.500 0.000 0.000 O
```

=====

2.
# KBaSb2I

KBaSb2I at its PBEsol-relaxed geometry (SCAN, Alexandria via LeMat-Bulk).

## Properties
The formation energy without anion corrections comes out at -0.3 eV/f.u. The mass density is 4.46 g cm⁻³.

```
KBaSb2I
1.0
5.774 0.000 0.000
0.000 5.774 0.000
0.000 0.000 6.109
I Sb K Ba
1 2 1 1
direct
0.000 0.000 0.500 I
0.000 0.500 0.000 Sb
0.500 0.000 0.000 Sb
0.000 0.000 0.000 K
0.500 0.500 0.500 Ba
```

=====

3.
# BaLaI5

BaLaI5 at its PBEsol-relaxed geometry (SCAN, Alexandria via LeMat-Bulk).

## Properties
The formation energy without anion corrections comes out at -12.4 eV/f.u. The mass density is 4.98 g cm⁻³.

```
BaLaI5
1.0
4.763 0.000 0.000
0.000 8.618 0.060
0.000 0.010 14.803
Ba La I
2 2 10
direct
0.750 0.059 0.155 Ba
0.250 0.941 0.845 Ba
0.250 0.425 0.350 La
0.750 0.575 0.650 La
0.250 0.058 0.334 I
0.750 0.176 0.931 I
0.750 0.312 0.486 I
0.250 0.366 0.141 I
0.250 0.349 0.708 I
0.750 0.651 0.292 I
0.750 0.634 0.859 I
0.250 0.688 0.514 I
0.250 0.824 0.069 I
0.750 0.942 0.666 I
```

=====

4.
# BaLaI5

BaLaI5 at its PBEsol-relaxed geometry (SCAN, Alexandria via LeMat-Bulk).

## Properties
The formation energy without anion corrections comes out at -12.3 eV/f.u. The mass density is 5.11 g cm⁻³.

```
BaLaI5
1.0
-7.297 0.467 -2.807
-3.321 -6.895 8.033
-2.445 10.648 8.128
I Ba La
20 4 4
direct
0.966 0.404 0.240 I
0.705 0.835 0.472 I
0.918 0.208 0.702 I
0.731 0.459 0.522 I
0.736 0.870 0.761 I
0.756 0.522 0.972 I
0.754 0.089 0.274 I
0.574 0.611 0.264 I
0.799 0.166 0.971 I
0.559 0.867 0.060 I
0.441 0.133 0.560 I
0.201 0.834 0.471 I
0.426 0.389 0.764 I
0.246 0.911 0.774 I
0.244 0.478 0.472 I
0.264 0.130 0.261 I
0.269 0.541 0.022 I
0.082 0.792 0.202 I
0.295 0.165 0.972 I
0.034 0.596 0.740 I
0.987 0.783 0.955 Ba
0.441 0.671 0.643 Ba
0.559 0.329 0.143 Ba
0.013 0.217 0.455 Ba
0.939 0.628 0.382 La
0.536 0.114 0.782 La
0.464 0.886 0.282 La
0.061 0.372 0.882 La
```